Computed, not measured: a geometry-optimized Ho2TmRh9 structure at the GGA-PBE level of DFT.

The structure belongs to space group R-3m (No. 166, hexagonal axes); the cell edges are 5.2355, 5.2355 and 26.3216 Å and the angles 90.00°, 90.00° and 120.00°. The asymmetric unit holds Ho at (0.0000, 0.0000, 0.1388), Tm at (0.0000, 0.0000, 0.0000), Rh at (0.0000, 0.0000, 0.3331), Rh at (0.0000, 0.0000, 0.5000) and Rh at (0.0005, 0.5003, 0.9173).

As for the density of states at the Fermi level: 37.27 states/eV/cell. The total energy is -7.221 eV/atom.

---

Computed, not measured: a geometry-optimized HoTmRh structure at the GGA-PBE level of DFT.

The structure belongs to space group P3m1 (No. 156); the cell edges are 4.5774, 4.5774 and 3.8965 Å and the angles 90.00°, 90.00° and 120.00°. The asymmetric unit holds Ho at (0.0000, 0.0000, 0.0000), Tm at (0.6667, 0.3333, 0.4691) and Rh at (0.3333, 0.6667, 0.7247).

For the energy relative to the lowest polymorph listed for this composition, the calculation gives 0.69 eV/f.u. As for the density of states at the Fermi level: 2.53 states/eV/cell.

---

Computed, not measured: a geometry-optimized HoTm3Rh3 structure at the GGA-PBE level of DFT.

The structure belongs to space group Cmmm (No. 65); the cell edges are 9.625, 9.753 and 6.609 Å and the angles 90.00°, 90.00° and 90.00°. The asymmetric unit holds Ho at (0.247, 0.000, 0.000), Tm at (0.000, 0.255, 0.500), Tm at (0.000, 0.261, 0.000), Tm at (0.246, 0.500, 0.500), Rh at (0.000, 0.500, 0.251) and Rh at (0.250, 0.250, 0.252).

As for the density of states at the Fermi level: 12.12 states/eV/cell. The total energy is -6.506 eV/atom.

---

Computed, not measured: a geometry-optimized Ho2Tm5Rh4 structure at the GGA-PBE level of DFT.

The structure belongs to space group C2/m (No. 12); the cell edges are 22.788, 3.493 and 6.891 Å and the angles 90.00°, 97.05° and 90.00°. The asymmetric unit holds Ho at (0.229, 0.000, 0.272), Tm at (0.000, 0.000, 0.000), Tm at (0.098, 0.500, 0.400), Tm at (0.130, 0.500, 0.894), Rh at (0.022, 0.500, 0.705) and Rh at (0.176, 0.000, 0.630).

As for the density of states at the Fermi level: 15.97 states/eV/cell. The total energy is -6.065 eV/atom.

---

Computed, not measured: a geometry-optimized HoTm6Rh2 structure at the GGA-PBE level of DFT.

The structure belongs to space group C2/m (No. 12); the cell edges are 15.731, 3.689 and 10.688 Å and the angles 90.00°, 130.22° and 90.00°. The asymmetric unit holds Ho at (0.000, 0.000, 0.000), Tm at (0.020, 0.000, 0.689), Tm at (0.194, 0.500, 0.053), Tm at (0.226, 0.500, 0.615) and Rh at (0.098, 0.500, 0.270).

As for the density of states at the Fermi level: 17.11 states/eV/cell. The total energy is -5.556 eV/atom.

---

Computed, not measured: a geometry-optimized Ho2TmRh structure at the GGA-PBE level of DFT.

The structure belongs to space group Cmcm (No. 63); the cell edges are 3.795, 11.757 and 9.303 Å and the angles 90.00°, 90.00° and 90.00°. The asymmetric unit holds Ho at (0.000, 0.138, 0.067), Tm at (0.000, 0.424, 0.250) and Rh at (0.000, 0.254, 0.750).

For the energy relative to the lowest polymorph listed for this composition, the calculation gives 0.13 eV/f.u. As for the density of states at the Fermi level: 17.60 states/eV/cell.

---

Computed, not measured: a geometry-optimized HoTm5Rh6 structure at the GGA-PBE level of DFT.

The structure belongs to space group P2/m (No. 10); the cell edges are 4.765, 6.811 and 7.541 Å and the angles 90.00°, 108.35° and 90.00°. The asymmetric unit holds Ho at (0.000, 0.000, 0.000), Tm at (0.000, 0.500, 0.000), Tm at (0.333, 0.000, 0.666), Tm at (0.333, 0.500, 0.667), Rh at (0.167, 0.251, 0.334) and Rh at (0.500, 0.252, 0.000).

As for the density of states at the Fermi level: 6.12 states/eV/cell. The total energy is -6.881 eV/atom.

---

Computed, not measured: a geometry-optimized HoTmRh2 structure at the GGA-PBE level of DFT.

The structure belongs to space group P4/mmm (No. 123); the cell edges are 4.738, 4.738 and 3.481 Å and the angles 90.00°, 90.00° and 90.00°. The asymmetric unit holds Ho at (0.000, 0.000, 0.000), Tm at (0.500, 0.500, 0.000) and Rh at (0.000, 0.500, 0.500).

As for the density of states at the Fermi level: 1.96 states/eV/cell. The total energy is -6.874 eV/atom.